Below is crystalline KMnOs2 at its relaxed geometry, with properties calculated at the PBE level. Values from VASP.

The structure in Quantum ESPRESSO input format:
```
&SYSTEM
  ibrav = 0, nat = 4, ntyp = 3
/
ATOMIC_SPECIES
K 39.10 K.upf
Mn 54.94 Mn.upf
Os 190.23 Os.upf
ATOMIC_POSITIONS crystal
K 0.000 0.000 0.000
Mn 0.500 0.500 0.336
Os 0.000 0.000 0.529
Os 0.500 0.500 0.703
CELL_PARAMETERS angstrom
2.847 0.000 0.000
0.000 2.847 0.000
0.000 0.000 9.513
```

Computed properties:
* size of the total moment: 3.50 μB/f.u.
* relative energy among the computed polymorphs: 0.036 eV per atom
* calculated volume: 19.3 Å³ per atom
* symmetry: P4mm (99)
* ΔH_f (0 K): 0.75 eV/atom